The following is a DFT calculation (PBE-GGA) of a geometry-optimized PuScTl structure.

Structure (POSCAR):
```
PuScTl
1.0
-4.131 0.823 3.167
-0.768 -1.400 -5.022
0.078 -5.999 1.660
Tl Pu Sc
2 2 2
Direct
0.667 0.833 0.250 Tl
0.333 0.167 0.750 Tl
0.000 0.500 0.500 Pu
0.000 0.500 0.000 Pu
0.333 0.167 0.250 Sc
0.667 0.833 0.750 Sc
```

Values from the calculation:
Formation energy: -0.13 eV/atom
Energy: -46.8 eV/cell
SG: P6_3/mmc